Record 1
First-principles (PBE) data for AlPbNF2 after structural relaxation, as listed in Alexandria via LeMat-Bulk.

a = 4.0260 Å, b = 4.0260 Å, c = 3.8490 Å
α = 90.00°, β = 90.00°, γ = 90.00°
Last column: nearest neighbours and their distance in Å.
Fractional positions:
N 0.0000 0.0000 0.5000  2 Al 1.92
Al 0.0000 0.0000 0.0000  2 N 1.92, 4 F 2.01
F 0.0000 0.5000 0.0000  2 Al 2.01
Pb 0.5000 0.5000 0.5000  8 F 2.78, 4 N 2.85
F 0.5000 0.0000 0.0000  2 Al 2.01

Properties
Space group = P4/mmm
E_tot = -27.4 eV/f.u.
Energy above the lowest structure with this stoichiometry = 0 meV/atom
Formation energy without anion corrections = -756 kJ/mol of formula units



Record 2
First-principles (PBE) data for Li4Au5 after structural relaxation, as listed in Alexandria via LeMat-Bulk.

a = 4.0549 Å, b = 6.3426 Å, c = 6.3426 Å
α = 84.09°, β = 71.01°, γ = 71.01°
Last column: nearest neighbours and their distance in Å.
Fractional positions:
Au 0.0000 0.6667 0.3333  4 Au 2.76, 8 Li 2.85-2.86
Au 0.3235 0.3412 0.0079  6 Au 2.76-2.96, 6 Li 2.80-2.83
Li 0.6679 0.6664 0.9987  8 Au 2.80-2.86, 4 Li 2.82-2.85
Li 0.3321 0.6669 0.6680  8 Au 2.80-2.86, 4 Li 2.82-2.85
Li 0.3321 0.0013 0.3336  8 Au 2.80-2.86, 4 Li 2.82-2.85
Au 0.0000 0.3417 0.6583  6 Au 2.76-2.97, 6 Li 2.81-2.82
Au 0.0000 0.9916 0.0084  6 Au 2.76-2.97, 6 Li 2.81-2.82
Au 0.6765 0.9921 0.6588  6 Au 2.76-2.96, 6 Li 2.80-2.83
Li 0.6679 0.3320 0.3331  8 Au 2.80-2.86, 4 Li 2.82-2.85

Properties
Space group = C2/m
E_tot = -28.3 eV/f.u.
Energy above the lowest structure with this stoichiometry = 0 meV/atom
ΔH_f (0 K) = -0.477 eV/atom



Record 3
First-principles (PBE) data for Tb2NbC after structural relaxation, as listed in Alexandria via LeMat-Bulk.

a = 3.3876 Å, b = 3.3876 Å, c = 9.1711 Å
α = 79.36°, β = 79.36°, γ = 60.00°
Last column: nearest neighbours and their distance in Å.
Fractional positions:
C 0.5000 0.5000 0.5000  6 Tb 2.40
Tb 0.1148 0.1148 0.6557  3 C 2.40
Nb 0.0000 0.0000 0.0000  2 Tb 3.08, 6 Nb 3.39
Tb 0.8852 0.8852 0.3443  3 C 2.40

Properties
Space group = R-3m
E_tot = -26.9 eV/f.u.
ΔH_f (0 K) = 0.412 eV/atom



Record 4
First-principles (PBE) data for Sr3Tm2HfAs6 after structural relaxation, as listed in Alexandria via LeMat-Bulk.

a = 7.1951 Å, b = 7.1951 Å, c = 7.5039 Å
α = 99.19°, β = 99.19°, γ = 119.98°
Last column: nearest neighbours and their distance in Å.
Fractional positions:
As 0.7514 0.7514 0.2159  1 Hf 2.77, 2 Tm 2.88
As 0.0713 0.3927 0.2144  1 Hf 2.77, 2 Tm 2.88
Sr 0.1698 0.8302 0.5000  6 As 3.11-3.18
As 0.2486 0.2486 0.7841  1 Hf 2.77, 2 Tm 2.88
Hf 0.0000 0.0000 0.0000  6 As 2.77
As 0.9287 0.6073 0.7856  1 Hf 2.77, 2 Tm 2.88
As 0.3927 0.0713 0.2144  1 Hf 2.77, 2 Tm 2.88
Sr 0.5000 0.5000 0.5000  6 As 3.11-3.21
Tm 0.3338 0.6662 0.0000  6 As 2.88
As 0.6073 0.9287 0.7856  1 Hf 2.77, 2 Tm 2.88
Sr 0.8302 0.1698 0.5000  6 As 3.11-3.18
Tm 0.6662 0.3338 0.0000  6 As 2.88

Properties
Space group = C2/m
E_tot = -65.8 eV/f.u.
ΔH_f (0 K) = -1.165 eV/atom